Crystalline Hg2Cl at its relaxed geometry. Source: Alexandria, functional PBEsol.

Output
**Energy relative to the elements, uncorrected**: -0.149 eV/atom
**Fermi-level density of states**: 0.80 states/eV/cell
**Relative energy among the computed polymorphs**: 148 meV per atom
**Size of the total moment**: 0.00 μB/cell

a b c (Å): 6.0451 6.0451 6.0451
angles (deg): 146.30 146.30 48.41
Sites, in units of the cell vectors:
Hg1 0.1723 0.1723 0.0000
Hg2 0.8277 0.8277 0.0000
Cl1 0.5000 0.5000 0.0000

***

Crystalline Hg3Cl at its relaxed geometry. Source: Alexandria, functional PBEsol.

Output
**Energy relative to the elements, uncorrected**: -0.112 eV/atom
**Fermi-level density of states**: 1.55 states/eV/cell
**Relative energy among the computed polymorphs**: 79 meV per atom
**Size of the total moment**: 0.00 μB/cell

a b c (Å): 3.4653 3.4653 7.5850
angles (deg): 90.00 90.00 90.00
Sites, in units of the cell vectors:
Hg1 0.0000 0.0000 0.0000
Hg2 0.5000 0.5000 0.2513
Hg3 0.5000 0.5000 0.7487
Cl1 0.0000 0.0000 0.5000

***

Crystalline HgCl3 at its relaxed geometry. Source: Alexandria, functional PBEsol.

Output
**Energy relative to the elements, uncorrected**: -0.007 eV/atom
**Fermi-level density of states**: 2.98 states/eV/cell
**Size of the total moment**: 1.03 μB/cell

a b c (Å): 3.4424 3.5317 8.3241
angles (deg): 90.00 90.00 90.00
Sites, in units of the cell vectors:
Hg1 0.0000 0.0000 0.0000
Cl1 0.0000 0.5000 0.7819
Cl2 0.5000 0.0000 0.5203
Cl3 0.5000 0.5000 0.1579

***

Crystalline HgCl3 at its relaxed geometry. Source: Alexandria, functional PBEsol.

Output
**Energy relative to the elements, uncorrected**: -0.064 eV/atom
**Fermi-level density of states**: 2.68 states/eV/cell
**Size of the total moment**: 0.00 μB/cell

a b c (Å): 3.8811 3.8811 7.5518
angles (deg): 90.00 90.00 121.21
Sites, in units of the cell vectors:
Hg1 0.0000 0.0000 0.0000
Cl1 0.0000 0.0000 0.5000
Cl2 0.5000 0.5000 0.2254
Cl3 0.5000 0.5000 0.7746

***

Crystalline HgCl2 at its relaxed geometry. Source: Alexandria, functional PBEsol.

Output
**Energy relative to the elements, uncorrected**: -0.572 eV/atom
**Fermi-level density of states**: 0.00 states/eV/cell
**Size of the total moment**: 0.00 μB/cell

a b c (Å): 13.5607 6.0486 3.9594
angles (deg): 90.00 90.00 90.00
Sites, in units of the cell vectors:
Hg1 0.1578 0.2500 0.1152
Hg2 0.3422 0.7500 0.6152
Hg3 0.6578 0.2500 0.3848
Hg4 0.8422 0.7500 0.8848
Cl1 0.0343 0.2500 0.7086
Cl2 0.2021 0.7500 0.9636
Cl3 0.2979 0.2500 0.4636
Cl4 0.4657 0.7500 0.2086
Cl5 0.5343 0.2500 0.7914
Cl6 0.7021 0.7500 0.5364
Cl7 0.7979 0.2500 0.0364
Cl8 0.9657 0.7500 0.2914

***

Crystalline Hg3Cl5 at its relaxed geometry. Source: Alexandria, functional PBEsol.

Output
**Energy relative to the elements, uncorrected**: -0.326 eV/atom
**Fermi-level density of states**: 1.31 states/eV/cell
**Size of the total moment**: 0.00 μB/cell

a b c (Å): 7.2021 7.2021 3.8130
angles (deg): 90.00 90.00 110.95
Sites, in units of the cell vectors:
Hg1 0.0000 0.0000 0.0000
Hg2 0.3264 0.6736 0.5000
Hg3 0.6736 0.3264 0.5000
Cl1 0.0000 0.5000 0.0000
Cl2 0.2008 0.2008 0.5000
Cl3 0.5000 0.0000 0.0000
Cl4 0.5000 0.5000 0.0000
Cl5 0.7992 0.7992 0.5000

***

Crystalline Hg2Cl at its relaxed geometry. Source: Alexandria, functional PBEsol.

Output
**Energy relative to the elements, uncorrected**: -0.297 eV/atom
**Relative energy among the computed polymorphs**: 0 meV per atom
**Size of the total moment**: 0.00 μB/cell

a b c (Å): 5.9879 5.9879 7.5647
angles (deg): 119.03 119.03 41.78
Sites, in units of the cell vectors:
Hg1 0.0794 0.0794 0.4146
Hg2 0.2323 0.2323 0.2352
Hg3 0.7677 0.7677 0.7648
Hg4 0.9206 0.9206 0.5854
Cl1 0.3993 0.3993 0.0962
Cl2 0.6007 0.6007 0.9038

***

Crystalline Hg3S2ICl at its relaxed geometry. Source: Alexandria, functional PBEsol.

Output
**Energy relative to the elements, uncorrected**: -0.295 eV/atom
**Size of the total moment**: 0.00 μB/cell

a b c (Å): 10.0477 10.0477 12.9914
angles (deg): 126.83 126.83 53.24
Sites, in units of the cell vectors:
Hg1 0.0000 0.5000 0.0000
Hg2 0.0537 0.4847 0.2957
Hg3 0.0920 0.0920 0.7123
Hg4 0.2168 0.7832 0.0000
Hg5 0.3903 0.3903 0.7315
Hg6 0.4847 0.0537 0.2957
Hg7 0.5000 0.0000 0.0000
Hg8 0.5153 0.9463 0.7043
Hg9 0.6097 0.6097 0.2685
Hg10 0.7832 0.2168 0.0000
Hg11 0.9080 0.9080 0.2877
Hg12 0.9463 0.5153 0.7043
S1 0.1167 0.6546 0.7493
S2 0.1453 0.6147 0.2498
S3 0.3454 0.8833 0.2507
S4 0.3853 0.8547 0.7502
S5 0.6147 0.1453 0.2498
S6 0.6546 0.1167 0.7493
S7 0.8547 0.3853 0.7502
S8 0.8833 0.3454 0.2507
I1 0.1340 0.1340 0.5052
I2 0.3752 0.3752 0.9949
I3 0.6248 0.6248 0.0051
I4 0.8660 0.8660 0.4948
Cl1 0.1358 0.1358 0.0191
Cl2 0.3686 0.3686 0.4952
Cl3 0.6314 0.6314 0.5048
Cl4 0.8642 0.8642 0.9809